# GGA-PBE ScAlRu2, optimized geometry
data_ScAlRu2
_chemical_formula_sum 'Sc1 Al1 Ru2'
_cell_length_a 3.119
_cell_length_b 3.119
_cell_length_c 6.230
_cell_angle_alpha 90.00
_cell_angle_beta 90.00
_cell_angle_gamma 90.00
_symmetry_space_group_name_H-M 'P 1'
_symmetry_Int_Tables_number 1
loop_
_symmetry_equiv_pos_as_xyz
'x,y,z'
loop_
_atom_site_label
_atom_site_type_symbol
_atom_site_fract_x
_atom_site_fract_y
_atom_site_fract_z
_atom_site_occupancy
Sc1 Sc 0.500 0.500 0.250 1
Ru1 Ru 0.000 0.000 0.521 1
Ru2 Ru 0.000 0.000 0.979 1
Al1 Al 0.500 0.500 0.750 1
# **ρ**: 7.51 g/cm³
# **DOS(E_F)**: 1.25 states/eV per atom
# **Energy relative to the elements**: -0.5660 eV per atom
# **Symmetry**: P4/mmm, No. 123

***

# GGA-PBE RbLiRhCl6, optimized geometry
data_RbLiRhCl6
_chemical_formula_sum 'Rb1 Li1 Rh1 Cl6'
_cell_length_a 6.424
_cell_length_b 6.424
_cell_length_c 7.361
_cell_angle_alpha 90.00
_cell_angle_beta 90.00
_cell_angle_gamma 59.99
_symmetry_space_group_name_H-M 'P 1'
_symmetry_Int_Tables_number 1
loop_
_symmetry_equiv_pos_as_xyz
'x,y,z'
loop_
_atom_site_label
_atom_site_type_symbol
_atom_site_fract_x
_atom_site_fract_y
_atom_site_fract_z
_atom_site_occupancy
Rh1 Rh 0.667 0.667 0.500 1
Cl1 Cl 0.645 0.975 0.316 1
Cl2 Cl 0.975 0.645 0.684 1
Cl3 Cl 0.380 0.645 0.316 1
Cl4 Cl 0.975 0.379 0.316 1
Cl5 Cl 0.645 0.380 0.684 1
Cl6 Cl 0.379 0.975 0.684 1
Rb1 Rb 0.000 0.000 0.000 1
Li1 Li 0.333 0.333 0.500 1
# **Formation energy without anion corrections**: -9.9 eV per formula unit
# **ρ**: 2.58 g/cm³
# **DOS(E_F)**: 0.89 states/eV per atom
# **Symmetry**: P312, No. 149

***

# GGA-PBE Mn3SiH, optimized geometry
data_Mn3SiH
_chemical_formula_sum 'Mn6 Si2 H2'
_cell_length_a 4.390
_cell_length_b 5.157
_cell_length_c 4.327
_cell_angle_alpha 90.00
_cell_angle_beta 101.04
_cell_angle_gamma 90.00
_symmetry_space_group_name_H-M 'P 1'
_symmetry_Int_Tables_number 1
loop_
_symmetry_equiv_pos_as_xyz
'x,y,z'
loop_
_atom_site_label
_atom_site_type_symbol
_atom_site_fract_x
_atom_site_fract_y
_atom_site_fract_z
_atom_site_occupancy
Si1 Si 0.691 0.250 0.760 1
Si2 Si 0.309 0.750 0.240 1
H1 H 0.969 0.750 0.517 1
H2 H 0.031 0.250 0.483 1
Mn1 Mn 0.197 0.501 0.766 1
Mn2 Mn 0.803 0.001 0.234 1
Mn3 Mn 0.322 0.250 0.258 1
Mn4 Mn 0.678 0.750 0.742 1
Mn5 Mn 0.197 0.999 0.766 1
Mn6 Mn 0.803 0.499 0.234 1
# **ρ**: 6.70 g/cm³
# **DOS(E_F)**: 0.61 states/eV per atom
# **Distance to the lowest polymorph of the same formula**: 0.098 eV/atom
# **Symmetry**: P2_1/m, No. 11